Entry 1:
Nb2HWN | GGA-PBE | optimized geometry

```
5
Lattice="4.511 0.000 0.000 0.000 3.105 0.000 0.000 0.000 4.511" Properties=species:S:1:pos:R:3 pbc="T T T"
Nb 2.255 0.000 0.000
Nb 0.000 0.000 2.255
H 0.000 1.553 0.000
W 2.255 1.553 2.255
N 0.000 0.000 0.000
```

Electronic total energy, eV/atom: -8.726

=====

Entry 2:
Tm4CoTe2S | GGA-PBE | optimized geometry

```
8
Lattice="-3.398 -2.035 -0.198 2.696 -3.985 -5.304 1.599 -3.289 6.334" Properties=species:S:1:pos:R:3 pbc="T T T"
Tm -0.693 -2.695 -0.121
Tm 1.590 -6.613 0.952
Tm 2.043 -3.762 3.576
Tm 2.251 -3.512 -2.546
Co -0.351 -3.010 -2.751
S 0.000 0.000 0.000
Te 2.147 -3.637 0.515
Te -0.900 -2.662 3.068
```

Electronic total energy, eV/atom: -5.560

=====

Entry 3:
LiSn2Pb | GGA-PBE | optimized geometry

```
8
Lattice="-8.356 -0.279 -0.797 0.583 -7.644 -3.429 -4.108 -5.214 0.641" Properties=species:S:1:pos:R:3 pbc="T T T"
Sn -5.968 -2.427 -0.747
Sn -1.916 -6.123 -2.103
Sn -5.981 -7.073 -1.190
Sn -9.897 -10.653 -3.132
Li -3.706 -8.410 -2.451
Li -3.887 -3.962 -2.113
Pb 0.000 0.000 0.000
Pb -8.175 -4.728 -1.135
```

ΔH_f (0 K), eV per atom: 0.021

=====

Entry 4:
Fe2BiB | GGA-PBE | optimized geometry

```
8
Lattice="-3.411 1.796 -2.563 0.375 -3.529 -2.972 -5.713 -4.104 0.547" Properties=species:S:1:pos:R:3 pbc="T T T"
B -1.518 -0.867 -2.768
B -3.428 -4.250 -2.596
Fe -5.351 -4.407 -2.238
Fe -2.857 -0.690 -1.343
Fe -7.014 -3.915 -3.861
Fe -2.277 -2.662 -2.535
Bi 0.000 0.000 0.000
Bi -5.321 -1.587 -2.392
```

Excess energy over the best structure of this formula in the dataset, eV/f.u.: 0.000
ΔH_f (0 K), eV per atom: 0.605

=====

Entry 5:
CaZn2SiRh2 | GGA-PBE | optimized geometry

```
6
Lattice="-1.962 -0.708 -3.935 -0.336 -4.338 0.949 -5.133 0.922 2.394" Properties=species:S:1:pos:R:3 pbc="T T T"
Si 0.000 0.000 0.000
Rh -0.168 -2.169 0.474
Rh -0.981 -0.354 -1.967
Zn -2.562 -2.270 -0.834
Zn -4.870 -1.855 0.242
Ca -2.567 0.461 1.197
```

Electronic total energy, eV/atom: -4.488

=====

Entry 6:
HoTmTl3 | GGA-PBE | optimized geometry

```
10
Lattice="6.327 0.000 0.000 0.000 7.381 -0.001 0.000 -3.689 6.392" Properties=species:S:1:pos:R:3 pbc="T T T"
Tl 1.582 2.201 1.272
Tl 1.582 3.690 3.849
Tl 4.746 1.490 5.120
Tl 1.582 5.178 1.271
Tl 4.746 0.001 2.542
Tl 4.746 -1.487 5.120
Tm 3.164 0.000 0.000
Tm 0.000 0.000 0.000
Ho 1.582 0.003 4.260
Ho 4.746 3.688 2.131
```

ΔH_f (0 K), eV per atom: 0.008

=====

Entry 7:
Pu5ZrSe6 | GGA-PBE | optimized geometry

```
12
Lattice="6.955 -0.112 -1.313 -3.761 5.852 -1.313 0.138 0.248 7.089" Properties=species:S:1:pos:R:3 pbc="T T T"
Se 0.882 1.584 4.695
Se 0.770 5.499 3.376
Se -0.935 2.436 1.089
Se 2.563 0.489 1.089
Se 2.451 4.404 -0.231
Se 4.268 3.552 3.376
Pu 5.218 1.017 2.232
Pu -1.886 4.971 2.232
Pu -0.181 3.860 -1.313
Pu 3.376 1.880 -1.313
Pu 1.666 2.994 2.232
Zr 0.000 0.000 0.000
```

Electronic total energy, eV/atom: -9.881

=====

Entry 8:
La5DyCd6 | GGA-PBE | optimized geometry

```
12
Lattice="-5.446 -0.729 -0.306 0.645 -1.610 -7.636 -1.747 -8.401 1.624" Properties=species:S:1:pos:R:3 pbc="T T T"
La -2.067 -3.913 -3.364
La -2.398 -3.041 0.439
La 0.323 -0.805 -3.818
La -4.795 -6.089 0.879
La -4.481 -6.827 -2.954
Cd -2.568 -0.752 -1.991
Cd -1.905 -6.204 -0.801
Cd -4.975 -3.707 -1.587
Cd -2.233 -1.587 -5.951
Cd -1.573 -7.033 -4.731
Cd -4.643 -4.536 -5.517
Dy 0.000 0.000 0.000
```

ΔH_f (0 K), eV per atom: -0.321

=====

Entry 9:
ScCdInNi | GGA-PBE | optimized geometry

```
4
Lattice="-1.468 4.274 1.332 -2.339 2.739 -3.036 -4.596 0.822 0.627" Properties=species:S:1:pos:R:3 pbc="T T T"
Sc 0.000 0.000 0.000
Ni -2.101 1.959 -0.269
In -4.201 3.917 -0.539
Cd -6.302 5.876 -0.808
```

ΔH_f (0 K), eV per atom: -0.230

=====

Entry 10:
FeHg2Ru | GGA-PBE | optimized geometry

```
4
Lattice="5.015 -0.122 0.216 3.981 3.052 0.216 1.202 0.392 4.453" Properties=species:S:1:pos:R:3 pbc="T T T"
Ru 7.649 2.492 3.664
Hg 5.139 1.674 2.425
Hg 8.956 2.918 0.449
Fe 2.550 0.831 1.221
```

Excess energy over the best structure of this formula in the dataset, eV/f.u.: 1.006
ΔH_f (0 K), eV per atom: 0.584

=====

Entry 11:
Tc2IrW | GGA-PBE | optimized geometry

```
4
Lattice="4.793 0.006 0.000 1.611 4.514 0.000 -3.202 -2.260 2.759" Properties=species:S:1:pos:R:3 pbc="T T T"
Ir 2.396 0.003 1.379
Tc 0.000 0.000 0.000
Tc 0.805 2.257 1.379
W 3.202 2.260 0.000
```

Excess energy over the best structure of this formula in the dataset, eV/f.u.: 0.059
ΔH_f (0 K), eV per atom: -0.107

=====

Entry 12:
MgBeMo3 | GGA-PBE | optimized geometry

```
5
Lattice="-3.940 0.675 1.593 0.687 -3.024 2.983 1.587 2.985 2.661" Properties=species:S:1:pos:R:3 pbc="T T T"
Mo -1.970 0.338 0.796
Mo 0.794 1.493 1.331
Mo 0.344 -1.512 1.491
Be 0.000 0.000 0.000
Mg -0.833 0.318 3.618
```

Excess energy over the best structure of this formula in the dataset, eV/f.u.: 0.000
ΔH_f (0 K), eV per atom: 0.760

=====

Entry 13:
LaSm4Zn5 | GGA-PBE | optimized geometry

```
10
Lattice="-1.656 2.098 -2.504 1.484 -2.018 -2.672 -14.582 -11.136 0.310" Properties=species:S:1:pos:R:3 pbc="T T T"
La 0.000 0.000 0.000
Sm -8.729 -6.666 0.186
Sm -11.602 -8.861 0.247
Sm -2.980 -2.276 0.063
Sm -5.853 -4.470 0.124
Zn -10.259 -7.729 -2.372
Zn -4.495 -3.327 -2.494
Zn -13.092 -9.893 -2.312
Zn -1.661 -1.163 -2.555
Zn -7.377 -5.528 -2.433
```

ΔH_f (0 K), eV per atom: -0.314

=====

Entry 14:
Pr2GaIr | GGA-PBE | optimized geometry

```
4
Lattice="3.700 0.000 0.000 0.000 3.700 0.000 0.000 0.000 7.127" Properties=species:S:1:pos:R:3 pbc="T T T"
Ga 1.850 1.850 3.564
Pr 0.000 0.000 1.669
Pr 0.000 0.000 5.458
Ir 1.850 1.850 0.000
```

ΔH_f (0 K), eV per atom: -0.520

=====

Entry 15:
Y2Er4Th | GGA-PBE | optimized geometry

```
7
Lattice="-5.613 -0.184 -1.811 -1.684 -2.191 5.442 -0.032 7.002 -0.613" Properties=species:S:1:pos:R:3 pbc="T T T"
Er -0.361 2.436 0.869
Er -1.356 2.375 3.960
Er -3.885 0.407 2.384
Er -3.445 4.220 0.633
Y -4.329 3.405 3.455
Y -3.001 1.221 -0.437
Th -0.842 -1.096 2.721
```

Excess energy over the best structure of this formula in the dataset, eV/f.u.: 3.840
ΔH_f (0 K), eV per atom: 0.568

=====

Entry 16:
ErCo2Ni5 | GGA-PBE | optimized geometry

```
8
Lattice="3.608 0.000 0.000 1.804 5.539 0.237 1.804 1.250 5.402" Properties=species:S:1:pos:R:3 pbc="T T T"
Co 5.412 5.144 4.272
Co 1.804 1.645 1.366
Er 0.000 0.000 0.000
Ni 3.608 5.175 2.691
Ni 3.608 3.194 1.046
Ni 3.608 3.596 4.592
Ni 3.608 1.615 2.947
Ni 1.804 3.395 2.819
```

ΔH_f (0 K), eV per atom: 0.004

=====

Entry 17:
Mg2CoH6Pt | GGA-PBE | optimized geometry

```
10
Lattice="-3.471 -2.431 2.415 0.933 -3.953 -2.698 3.594 2.164 2.446" Properties=species:S:1:pos:R:3 pbc="T T T"
H 2.809 0.762 2.213
H 1.002 -0.725 1.053
H -1.752 -4.987 -0.053
H 0.054 -3.500 1.105
H 1.131 -0.639 3.648
H -0.074 -3.584 -1.491
Mg 1.629 -2.493 -0.200
Mg -0.573 -1.730 2.359
Pt 2.325 -1.031 2.302
Co 0.124 -0.269 4.858
```

Electronic total energy, eV/atom: -3.823

=====

Entry 18:
ZnSiPd4 | GGA-PBE | optimized geometry

```
24
Lattice="-2.167 1.419 1.369 -4.162 -0.938 -5.618 -5.486 -14.659 6.511" Properties=species:S:1:pos:R:3 pbc="T T T"
Si -5.010 -0.318 -2.901
Si -6.804 -13.860 5.162
Si -5.166 -5.826 2.563
Si -6.649 -8.352 -0.301
Pd -8.237 -14.021 3.061
Pd -3.138 -4.853 1.629
Pd -4.052 -7.929 3.372
Pd -1.070 -0.719 0.619
Pd -10.745 -13.460 1.643
Pd -6.935 -3.015 -3.153
Pd -4.879 -11.163 5.414
Pd -3.578 -0.157 -0.799
Pd -4.184 -2.555 -2.409
Pd -5.241 -3.579 0.115
Pd -8.676 -9.325 0.632
Pd -6.574 -10.599 2.146
Pd -7.763 -6.249 -1.111
Pd -6.701 -7.745 2.122
Pd -5.113 -6.433 0.139
Pd -7.631 -11.623 4.670
Zn -6.244 -9.200 4.354
Zn -9.015 -11.512 2.363
Zn -2.800 -2.666 -0.102
Zn -5.571 -4.978 -2.092
```

Excess energy over the best structure of this formula in the dataset, eV/f.u.: 0.000

=====

Entry 19:
BeTlZnAs2 | GGA-PBE | optimized geometry

```
10
Lattice="3.921 0.000 0.000 1.960 6.672 -0.831 1.960 0.148 8.258" Properties=species:S:1:pos:R:3 pbc="T T T"
Zn 5.881 6.263 0.497
Zn 1.960 0.557 6.931
As 3.920 4.739 6.758
As 3.921 5.451 1.755
As 3.921 2.081 0.670
As 3.920 1.369 5.673
Tl 1.960 1.793 3.234
Tl 5.881 5.027 4.194
Be 3.921 4.226 -0.235
Be 3.920 2.594 7.663
```

ΔH_f (0 K), eV per atom: -0.020

=====

Entry 20:
NaLa2B | GGA-PBE | optimized geometry

```
8
Lattice="-0.988 -4.294 -6.842 -1.810 -6.600 4.403 -5.082 -4.485 -1.291" Properties=species:S:1:pos:R:3 pbc="T T T"
La -2.617 -6.181 0.940
La -2.023 -4.232 -3.415
La -5.029 -8.060 -1.475
La -6.093 -12.284 -3.510
B -1.399 -5.447 -1.219
B -4.146 -8.266 0.947
Na 0.000 0.000 0.000
Na -3.735 -7.113 -4.676
```

ΔH_f (0 K), eV per atom: 0.379